CdAu: optimized geometry, GGA-PBEsol.

The formation energy is 0.8 eV per formula unit. The crystal system is cubic. For the density of states at the Fermi level, the calculation gives 0.30 states/eV/atom.

The space group is F-43m (No. 216) and the conventional cell measures 6.157, 6.157 and 6.157 Å, with angles of 90.00, 90.00 and 90.00 degrees. Symmetry generates all atoms from Cd at (0.000, 0.000, 0.000) and Au at (0.250, 0.250, 0.750).